# 1
First-principles (PBE-GGA) data for a relaxed structure of LiInRu2, as listed in the Alexandria database.

Calculated values
Formation energy   1.7 kcal/mol of atoms
Space group   I-4m2
Fermi-level density of states   0.836 states/eV/atom
Calculated volume   15.04 Å³ per atom

```
4
Lattice="-2.203 2.203 3.098 2.203 -2.203 3.098 2.203 2.203 -3.098" Properties=species:S:1:pos:R:3 pbc="T T T"
Li 0.000 0.000 0.000
In 2.203 0.000 1.549
Ru 0.000 0.000 3.098
Ru 0.000 2.203 1.549
```

---

# 2
First-principles (PBE-GGA) data for a relaxed structure of LiInRu, as listed in the Alexandria database.

Calculated values
Formation energy   2.0 kcal/mol of atoms
Space group   I4mm
Fermi-level density of states   1.242 states/eV/atom
Calculated volume   15.86 Å³ per atom

```
3
Lattice="-1.665 1.665 4.292 1.665 -1.665 4.292 1.665 1.665 -4.292" Properties=species:S:1:pos:R:3 pbc="T T T"
Li 0.000 0.000 0.000
In 0.000 0.000 5.838
Ru 0.000 0.000 2.992
```

---

# 3
First-principles (PBE-GGA) data for a relaxed structure of LiIn2Ru, as listed in the Alexandria database.

Calculated values
Formation energy   1.4 kcal/mol of atoms
Space group   R-3m
Fermi-level density of states   0.586 states/eV/atom
Calculated volume   19.45 Å³ per atom
Relative energy among the computed polymorphs   215.3 meV/atom

```
4
Lattice="1.583 0.914 8.967 -1.583 0.914 8.967 0.000 -1.828 8.967" Properties=species:S:1:pos:R:3 pbc="T T T"
Li 0.000 0.000 0.000
In 0.000 0.000 6.570
In 0.000 0.000 20.330
Ru 0.000 0.000 13.450
```

---

# 4
First-principles (PBE-GGA) data for a relaxed structure of LiInRu2, as listed in the Alexandria database.

Calculated values
Formation energy   4.5 kcal/mol of atoms
Space group   P2/m
Fermi-level density of states   0.876 states/eV/atom
Calculated volume   15.23 Å³ per atom

```
4
Lattice="2.804 0.000 0.000 0.000 4.401 0.000 -0.715 0.000 4.938" Properties=species:S:1:pos:R:3 pbc="T T T"
Li 0.000 0.000 0.000
In 1.044 0.000 2.469
Ru 0.043 2.201 3.844
Ru 2.046 2.201 1.094
```

---

# 5
First-principles (PBE-GGA) data for a relaxed structure of Li3InRu, as listed in the Alexandria database.

Calculated values
Formation energy   14.6 kcal/mol of atoms
Space group   Pm-3m
Fermi-level density of states   0.467 states/eV/atom
Calculated volume   19.90 Å³ per atom
Relative energy among the computed polymorphs   0.0 meV/atom

```
5
Lattice="4.634 0.000 0.000 0.000 4.634 0.000 0.000 0.000 4.634" Properties=species:S:1:pos:R:3 pbc="T T T"
Li 0.000 0.000 2.317
Li 0.000 2.317 0.000
Li 2.317 0.000 0.000
In 2.317 2.317 2.317
Ru 0.000 0.000 0.000
```

---

# 6
First-principles (PBE-GGA) data for a relaxed structure of LiInSbRu, as listed in the Alexandria database.

Calculated values
Space group   F-43m
Fermi-level density of states   0.555 states/eV/atom
Calculated volume   17.63 Å³ per atom
Total DFT energy (no corrections)   -4.655 eV per atom

```
4
Lattice="0.000 3.279 3.279 3.279 0.000 3.279 3.279 3.279 0.000" Properties=species:S:1:pos:R:3 pbc="T T T"
Li 0.000 0.000 0.000
In 4.918 4.918 4.918
Sb 1.639 1.639 1.639
Ru 3.279 3.279 3.279
```